## Cs3Ag2Cl8 (PBE-GGA)

Data for a relaxed Cs3Ag2Cl8 crystal.

a = 11.132 Å, b = 11.132 Å, c = 11.132 Å
α = 37.12°, β = 37.12°, γ = 37.12°
Fractional positions:
1 Cs 0.000 0.000 0.000
2 Cs 0.208 0.208 0.208
3 Cs 0.792 0.792 0.792
4 Ag 0.398 0.398 0.398
5 Ag 0.602 0.602 0.602
6 Cl 0.210 0.741 0.741
7 Cl 0.259 0.259 0.790
8 Cl 0.259 0.790 0.259
9 Cl 0.320 0.320 0.320
10 Cl 0.680 0.680 0.680
11 Cl 0.741 0.210 0.741
12 Cl 0.741 0.741 0.210
13 Cl 0.790 0.259 0.259

Results
Its total energy is -2.77 eV per atom. The value obtained for the density is 3.31 g/cm³. The space group is R-3m, No. 166. Its density of states at the Fermi level is 13.62 states/eV/f.u.



## Zn2CuBr (PBE-GGA)

Data for a relaxed Zn2CuBr crystal.

a = 3.418 Å, b = 3.493 Å, c = 6.525 Å
α = 90.00°, β = 90.04°, γ = 90.00°
Fractional positions:
1 Zn 0.000 0.000 0.000
2 Zn 0.500 0.500 0.232
3 Cu 0.000 0.000 0.371
4 Br 0.002 0.500 0.692

Results
The energy above the most stable polymorph in this dataset comes out at 0.455 eV/f.u. The value obtained for the density is 5.85 g/cm³. The space group is Pm, No. 6. Its density of states at the Fermi level is 1.42 states/eV/f.u.



## Li2TaCl (PBE-GGA)

Data for a relaxed Li2TaCl crystal.

a = 2.890 Å, b = 2.890 Å, c = 8.098 Å
α = 90.00°, β = 90.00°, γ = 90.00°
Fractional positions:
1 Li 0.000 0.000 0.187
2 Li 0.000 0.000 0.813
3 Ta 0.500 0.500 0.500
4 Cl 0.500 0.500 0.000

Results
The energy above the most stable polymorph in this dataset comes out at 0.499 eV/f.u. The value obtained for the density is 5.65 g/cm³. The space group is P4/mmm, No. 123. Its density of states at the Fermi level is 2.39 states/eV/f.u.